Material: BaMgCr
Method: DFT, GGA-PBE
State: relaxed

Summary:
As for the crystal system: cubic. The energy relative to the lowest polymorph listed for this composition comes out at 529.4 meV/atom. Its space-group type is No. 216. The formation energy from the elements is 1.0413 eV/atom.

a = 5.6332 Å, b = 5.6332 Å, c = 5.6332 Å
α = 60.00°, β = 60.00°, γ = 60.00°
Each line ends with the local moment (μB).
Fractional positions:
Mg1 0.5000 0.5000 0.5000  -0.01
Cr1 0.0000 0.0000 0.0000  4.13
Ba1 0.2500 0.2500 0.2500  0.05

=====

Material: Tb2GePt6
Method: DFT, GGA-PBE
State: relaxed

Summary:
As for the crystal system: monoclinic. Its space-group type is No. 12. The formation energy from the elements is -0.9747 eV/atom.

a = 5.6492 Å, b = 5.6196 Å, c = 6.2343 Å
α = 78.05°, β = 90.00°, γ = 120.17°
Fractional positions:
Pt1 0.3909 0.2663 0.6889
Pt2 0.8754 0.2663 0.6889
Pt3 0.1240 0.2479 0.3021
Pt4 0.8760 0.7521 0.6979
Pt5 0.6091 0.7337 0.3111
Pt6 0.1246 0.7337 0.3111
Tb1 0.3548 0.7096 0.8577
Tb2 0.6452 0.2904 0.1423
Ge1 0.0000 0.0000 0.0000

=====

Material: ThNb4O12
Method: DFT, GGA-PBE
State: relaxed

Summary:
As for the crystal system: tetragonal. The calculation puts the energy relative to the elements, uncorrected at -2.7289 eV/atom. The energy relative to the lowest polymorph listed for this composition comes out at 2.9 meV/atom. Its space-group type is No. 79.

a = 6.8666 Å, b = 6.8666 Å, c = 6.8666 Å
α = 109.06°, β = 110.31°, γ = 109.05°
Fractional positions:
Nb1 0.4720 0.4662 0.4667
Nb2 0.0006 0.5338 0.0060
Nb3 0.5060 0.0056 0.9722
Nb4 0.9665 0.9945 0.5003
O1 0.5670 0.2577 0.3022
O2 0.9646 0.2638 0.7073
O3 0.2005 0.2570 0.4641
O4 0.7256 0.5031 0.7858
O5 0.2860 0.0604 0.7825
O6 0.7218 0.9392 0.2254
O7 0.2073 0.7431 0.9438
O8 0.0446 0.7424 0.3093
O9 0.8095 0.2647 0.0671
O10 0.8022 0.7355 0.5448
O11 0.4435 0.7361 0.7008
O12 0.2828 0.4967 0.2221
Th1 0.9994 0.5003 0.4997

=====

Material: Ac3AgI3
Method: DFT, GGA-PBE
State: relaxed

Summary:
As for the crystal system: monoclinic. The calculation puts the energy relative to the elements, uncorrected at -0.9141 eV/atom. Its space-group type is No. 11.

a = 4.4984 Å, b = 9.7557 Å, c = 13.4272 Å
α = 86.44°, β = 90.00°, γ = 90.00°
Fractional positions:
Ac1 0.7500 0.1362 0.8474
Ac2 0.2500 0.9044 0.6238
Ac3 0.2500 0.8638 0.1526
Ac4 0.7500 0.0956 0.3762
Ac5 0.7500 0.6353 0.3956
Ac6 0.2500 0.3647 0.6044
I1 0.2500 0.8721 0.8924
I2 0.7500 0.1279 0.1076
I3 0.7500 0.6293 0.6591
I4 0.2500 0.3707 0.3409
I5 0.2500 0.3883 0.8675
I6 0.7500 0.6117 0.1325
Ag1 0.2500 0.8650 0.3853
Ag2 0.7500 0.1350 0.6147

=====

| no. | V (Å³ per cell) | ρ (Mg/m³) |
| --- | --- | --- |
| 1 | 126.40 | 2.8 |
| 2 | 166.12 | 15.6 |
| 3 | 249.18 | 5.3 |
| 4 | 588.12 | 6.6 |